No. 1
## MoAu4 (PBE)

Data for crystalline MoAu4 at its relaxed geometry.

Unit cell a=5.029 b=5.029 c=5.029 alpha=90.00 beta=90.00 gamma=90.00
Atoms (fractional coordinates):
Mo  0.000  0.000  0.000
Au  0.000  0.000  0.500
Au  0.000  0.500  0.000
Au  0.500  0.000  0.000
Au  0.500  0.500  0.500

Calculated values
* SG: Pm-3m (221)

No. 2
## Mo4Au (PBE)

Data for crystalline Mo4Au at its relaxed geometry.

Unit cell a=6.270 b=6.270 c=6.270 alpha=141.64 beta=141.64 gamma=55.38
Atoms (fractional coordinates):
Mo  0.116  0.116  0.000
Mo  0.250  0.750  0.500
Mo  0.750  0.250  0.500
Mo  0.884  0.884  0.000
Au  0.500  0.500  0.000

Calculated values
* SG: I4/mmm (139)
* distance to the lowest polymorph of the same formula: 2.84 eV per formula unit

No. 3
## Mo5Au3 (PBE)

Data for crystalline Mo5Au3 at its relaxed geometry.

Unit cell a=7.717 b=7.717 c=7.717 alpha=96.15 beta=96.15 gamma=141.78
Atoms (fractional coordinates):
Mo  0.075  0.758  0.834
Mo  0.242  0.075  0.317
Mo  0.250  0.750  0.500
Mo  0.258  0.575  0.834
Mo  0.425  0.258  0.683
Mo  0.575  0.742  0.317
Mo  0.742  0.425  0.166
Mo  0.750  0.250  0.500
Mo  0.758  0.925  0.683
Mo  0.925  0.242  0.166
Au  0.172  0.328  0.500
Au  0.250  0.250  0.000
Au  0.328  0.828  0.157
Au  0.672  0.172  0.843
Au  0.750  0.750  0.000
Au  0.828  0.672  0.500

Calculated values
* SG: I4/mcm (140)
* distance to the lowest polymorph of the same formula: 0.02 eV per formula unit

No. 4
## MoAu (PBE)

Data for crystalline MoAu at its relaxed geometry.

Unit cell a=7.084 b=7.084 c=7.084 alpha=109.47 beta=109.47 gamma=109.47
Atoms (fractional coordinates):
Mo  0.000  0.000  0.784
Mo  0.000  0.784  0.000
Mo  0.216  0.216  0.216
Mo  0.784  0.000  0.000
Au  0.000  0.000  0.410
Au  0.000  0.410  0.000
Au  0.410  0.000  0.000
Au  0.590  0.590  0.590

Calculated values
* SG: I-43m (217)

no.,energy relative to the elements (eV per atom),total moment (μB per cell)
1,1.31,0.00
2,0.79,0.00
3,0.36,0.00
4,1.26,0.00